Below is a PBEsol-optimized structure of KReSe2, with properties calculated at the meta-GGA SCAN level.

Summary:
Uncorrected formation energy = 51.2 kJ per mole of atoms
Total moment = 2.262 Bohr magnetons per cell
Excess energy over the best structure of this formula in the dataset = 313 kJ/mol of formula units

Cell lengths 4.9502, 4.9502, 3.1055 Å; angles 90.00, 90.00, 90.00 degrees
With the nearest neighbours (Å) after each atom.
Fractional coordinates of all 4 atoms:
K 0.0000 0.0000 0.0000  8 Se 2.92, 2 K 3.11
Re 0.5000 0.5000 0.0000  8 Se 2.92, 2 Re 3.11
Se 0.0000 0.5000 0.5000  4 K 2.92, 4 Re 2.92, 2 Se 3.11
Se 0.5000 0.0000 0.5000  4 K 2.92, 4 Re 2.92, 2 Se 3.11